{
  "formula": "KMg2CoPb",
  "functional": "PBE-GGA",
  "state": "optimized geometry",
  "lattice": [[5.097, 0.000, 0.000], [0.000, 5.097, 0.000], [0.000, 0.000, 5.000]],
  "species": ["K", "Mg", "Mg", "Co", "Pb"],
  "fractional_positions": [[0.000, 0.000, 0.000], [0.000, 0.500, 0.500], [0.500, 0.000, 0.500], [0.500, 0.500, 0.500], [0.500, 0.500, 0.000]],
  "e_tot_ev_per_atom": -2.957,
  "sg": "P4/mmm, No. 123"
}



{
  "formula": "KMgCo2Pb",
  "functional": "PBE-GGA",
  "state": "optimized geometry",
  "lattice": [[4.783, 0.000, 0.000], [0.000, 4.783, 0.000], [0.000, 0.000, 5.344]],
  "species": ["K", "Mg", "Co", "Co", "Pb"],
  "fractional_positions": [[0.000, 0.000, 0.000], [0.500, 0.500, 0.500], [0.000, 0.500, 0.500], [0.500, 0.000, 0.500], [0.500, 0.500, 0.000]],
  "e_tot_ev_per_atom": -3.016,
  "sg": "P4/mmm, No. 123"
}



{
  "formula": "KMg2CoPt",
  "functional": "PBE-GGA",
  "state": "optimized geometry",
  "lattice": [[4.936, 0.000, 0.000], [0.000, 4.936, 0.000], [0.000, 0.000, 4.737]],
  "species": ["K", "Mg", "Mg", "Co", "Pt"],
  "fractional_positions": [[0.000, 0.000, 0.000], [0.000, 0.500, 0.500], [0.500, 0.000, 0.500], [0.500, 0.500, 0.500], [0.500, 0.500, 0.000]],
  "e_tot_ev_per_atom": -3.320,
  "sg": "P4/mmm, No. 123"
}



{
  "formula": "K2MgCoRe",
  "functional": "PBE-GGA",
  "state": "optimized geometry",
  "lattice": [[6.345, 0.000, 0.000], [0.000, 6.345, 0.000], [0.000, 0.000, 5.243]],
  "species": ["K", "K", "Mg", "Co", "Re"],
  "fractional_positions": [[0.000, 0.500, 0.000], [0.500, 0.000, 0.000], [0.000, 0.000, 0.500], [0.500, 0.500, 0.500], [0.000, 0.000, 0.000]],
  "e_tot_ev_per_atom": -2.729,
  "sg": "P4/mmm, No. 123"
}